(1)
Here is an optimized crystal structure of Pr3HoTm5 from the Alexandria database. Energies are from PBE.

```
Pr3HoTm5
1.0
7.718 -5.573 0.000
7.718 5.573 0.000
-6.594 0.000 7.638
Pr Ho Tm
6 2 10
Direct
0.000 0.000 0.000 Pr
0.011 0.011 0.716 Pr
0.470 0.470 0.810 Pr
0.500 0.500 0.500 Pr
0.530 0.530 0.190 Pr
0.989 0.989 0.284 Pr
0.252 0.252 0.398 Ho
0.748 0.748 0.602 Ho
0.088 0.585 0.931 Tm
0.212 0.212 0.700 Tm
0.240 0.760 0.500 Tm
0.281 0.281 0.090 Tm
0.415 0.912 0.069 Tm
0.585 0.088 0.931 Tm
0.719 0.719 0.910 Tm
0.760 0.240 0.500 Tm
0.788 0.788 0.300 Tm
0.912 0.415 0.069 Tm
```

Properties
Formation energy from the elements in eV per atom: 0.537
Density in g/cm3: 7.24
Space-group type: C2/m, No. 12
E_tot in hartree per atom: -0.14879

(2)
Here is an optimized crystal structure of PrHo12Tm5 from the Alexandria database. Energies are from PBE.

```
PrHo12Tm5
1.0
5.750 -5.183 0.000
5.750 5.183 0.000
-5.354 0.000 9.572
Pr Ho Tm
1 12 5
Direct
0.000 0.000 0.000 Pr
0.005 0.672 0.153 Ho
0.027 0.361 0.331 Ho
0.306 0.306 0.669 Ho
0.328 0.995 0.847 Ho
0.342 0.342 0.154 Ho
0.361 0.027 0.331 Ho
0.639 0.973 0.669 Ho
0.658 0.658 0.846 Ho
0.672 0.005 0.153 Ho
0.694 0.694 0.331 Ho
0.973 0.639 0.669 Ho
0.995 0.328 0.847 Ho
0.167 0.833 0.500 Tm
0.335 0.665 0.000 Tm
0.500 0.500 0.500 Tm
0.665 0.335 0.000 Tm
0.833 0.167 0.500 Tm
```

Properties
Formation energy from the elements in eV per atom: 0.139
Density in g/cm3: 8.63
Space-group type: C2/m, No. 12
E_tot in hartree per atom: -0.16246